(1)
{"formula": "In2PtPb", "functional": "PBE-GGA", "state": "relaxed", "cell": [[1.920, 1.108, 8.051], [-1.920, 1.108, 8.051], [0.000, -2.217, 8.051]], "species": ["In", "In", "Pt", "Pb"], "frac_coords": [[0.232, 0.232, 0.232], [0.768, 0.768, 0.768], [0.500, 0.500, 0.500], [0.000, 0.000, 0.000]], "m_tot_mub_per_fu": 0.00, "density_g_cm3": 10.2, "vol_a3_per_atom": 25.69, "dos_ef_per_ev_cell": 2.46, "e_form_ev_per_atom": -0.140}

***

(2)
{"formula": "Al4FeOs3", "functional": "PBE-GGA", "state": "relaxed", "cell": [[-2.111, 2.111, 6.010], [2.111, -2.111, 6.010], [2.111, 2.111, -6.010]], "species": ["Al", "Al", "Al", "Al", "Fe", "Os", "Os", "Os"], "frac_coords": [[0.123, 0.623, 0.500], [0.377, 0.877, 0.500], [0.623, 0.123, 0.500], [0.877, 0.377, 0.500], [0.000, 0.000, 0.000], [0.249, 0.249, 0.000], [0.500, 0.500, 0.000], [0.751, 0.751, 0.000]], "m_tot_mub_per_fu": 1.28, "density_g_cm3": 11.4, "vol_a3_per_atom": 13.40, "dos_ef_per_ev_cell": 6.75, "e_form_ev_per_atom": -0.374}

***

(3)
{"formula": "GdThTl2", "functional": "PBE-GGA", "state": "relaxed", "cell": [[3.572, 0.000, 0.000], [0.000, 3.572, 0.000], [0.000, 0.000, 8.963]], "species": ["Gd", "Th", "Tl", "Tl"], "frac_coords": [[0.000, 0.000, 0.000], [0.000, 0.000, 0.500], [0.500, 0.500, 0.243], [0.500, 0.500, 0.757]], "m_tot_mub_per_fu": 7.32, "density_g_cm3": 11.6, "de_polymorph_mev_per_atom": 0.0, "vol_a3_per_atom": 28.58, "dos_ef_per_ev_cell": 4.31, "e_form_ev_per_atom": -0.265}

***

(4)
{"formula": "KNa3C", "functional": "PBE-GGA", "state": "relaxed", "cell": [[6.577, 0.000, 0.000], [0.000, 6.577, 0.000], [0.000, 0.000, 6.577]], "species": ["K", "Na", "Na", "Na", "C"], "frac_coords": [[0.000, 0.000, 0.000], [0.000, 0.000, 0.500], [0.000, 0.500, 0.000], [0.500, 0.000, 0.000], [0.500, 0.500, 0.500]], "m_tot_mub_per_fu": 2.06, "density_g_cm3": 0.7, "de_polymorph_mev_per_atom": 958.1, "vol_a3_per_atom": 56.91, "dos_ef_per_ev_cell": 1.77, "e_form_ev_per_atom": 1.707}

***

(5)
{"formula": "Ac3Tl5Se12", "functional": "PBE-GGA", "state": "relaxed", "cell": [[-8.644, 8.644, 8.644], [8.644, -8.644, 8.644], [8.644, 8.644, -8.644]], "species": ["Ac", "Ac", "Ac", "Ac", "Ac", "Ac", "Ac", "Ac", "Ac", "Ac", "Ac", "Ac", "Tl", "Tl", "Tl", "Tl", "Tl", "Tl", "Tl", "Tl", "Tl", "Tl", "Tl", "Tl", "Tl", "Tl", "Tl", "Tl", "Tl", "Tl", "Tl", "Tl", "Se", "Se", "Se", "Se", "Se", "Se", "Se", "Se", "Se", "Se", "Se", "Se", "Se", "Se", "Se", "Se", "Se", "Se", "Se", "Se", "Se", "Se", "Se", "Se", "Se", "Se", "Se", "Se", "Se", "Se", "Se", "Se", "Se", "Se", "Se", "Se", "Se", "Se", "Se", "Se", "Se", "Se", "Se", "Se", "Se", "Se", "Se", "Se"], "frac_coords": [[0.125, 0.250, 0.375], [0.125, 0.375, 0.750], [0.250, 0.375, 0.125], [0.250, 0.875, 0.625], [0.375, 0.125, 0.250], [0.375, 0.750, 0.125], [0.625, 0.250, 0.875], [0.625, 0.875, 0.750], [0.750, 0.125, 0.375], [0.750, 0.625, 0.875], [0.875, 0.625, 0.250], [0.875, 0.750, 0.625], [0.000, 0.000, 0.000], [0.000, 0.000, 0.500], [0.000, 0.500, 0.000], [0.000, 0.500, 0.500], [0.125, 0.750, 0.875], [0.125, 0.875, 0.250], [0.250, 0.125, 0.875], [0.250, 0.625, 0.375], [0.375, 0.250, 0.625], [0.375, 0.625, 0.750], [0.500, 0.000, 0.000], [0.500, 0.000, 0.500], [0.500, 0.500, 0.000], [0.500, 0.500, 0.500], [0.625, 0.375, 0.250], [0.625, 0.750, 0.375], [0.750, 0.375, 0.625], [0.750, 0.875, 0.125], [0.875, 0.125, 0.750], [0.875, 0.250, 0.125], [0.041, 0.214, 0.129], [0.041, 0.327, 0.912], [0.085, 0.714, 0.673], [0.085, 0.871, 0.412], [0.088, 0.629, 0.415], [0.088, 0.959, 0.673], [0.129, 0.041, 0.214], [0.129, 0.588, 0.915], [0.173, 0.214, 0.585], [0.173, 0.459, 0.588], [0.214, 0.129, 0.041], [0.214, 0.585, 0.173], [0.286, 0.327, 0.915], [0.286, 0.459, 0.371], [0.327, 0.912, 0.041], [0.327, 0.915, 0.286], [0.371, 0.286, 0.459], [0.371, 0.585, 0.912], [0.412, 0.085, 0.871], [0.412, 0.827, 0.541], [0.415, 0.088, 0.629], [0.415, 0.827, 0.786], [0.459, 0.371, 0.286], [0.459, 0.588, 0.173], [0.541, 0.412, 0.827], [0.541, 0.629, 0.714], [0.585, 0.173, 0.214], [0.585, 0.912, 0.371], [0.588, 0.173, 0.459], [0.588, 0.915, 0.129], [0.629, 0.415, 0.088], [0.629, 0.714, 0.541], [0.673, 0.085, 0.714], [0.673, 0.088, 0.959], [0.714, 0.541, 0.629], [0.714, 0.673, 0.085], [0.786, 0.415, 0.827], [0.786, 0.871, 0.959], [0.827, 0.541, 0.412], [0.827, 0.786, 0.415], [0.871, 0.412, 0.085], [0.871, 0.959, 0.786], [0.912, 0.041, 0.327], [0.912, 0.371, 0.585], [0.915, 0.129, 0.588], [0.915, 0.286, 0.327], [0.959, 0.673, 0.088], [0.959, 0.786, 0.871]], "m_tot_mub_per_fu": 0.00, "density_g_cm3": 6.8, "formation_energy_uncorrected_ev_per_atom": -0.8351, "vol_a3_per_atom": 32.29, "dos_ef_per_ev_cell": 20.52}

***

(6)
{"formula": "AlNiBi2", "functional": "PBE-GGA", "state": "relaxed", "cell": [[-2.889, 2.889, 6.979], [2.889, -2.889, 6.979], [2.889, 2.889, -6.979]], "species": ["Al", "Al", "Ni", "Ni", "Bi", "Bi", "Bi", "Bi"], "frac_coords": [[0.000, 0.000, 0.000], [0.750, 0.250, 0.500], [0.250, 0.750, 0.500], [0.500, 0.500, 0.000], [0.169, 0.625, 0.044], [0.375, 0.419, 0.544], [0.581, 0.125, 0.956], [0.875, 0.831, 0.456]], "m_tot_mub_per_fu": 0.00, "density_g_cm3": 7.2, "vol_a3_per_atom": 29.12, "dos_ef_per_ev_cell": 7.04, "e_form_ev_per_atom": 0.301}

***

(7)
{"formula": "Na2Ni3H8", "functional": "PBE-GGA", "state": "relaxed", "cell": [[5.042, -2.585, 0.000], [5.042, 2.585, 0.000], [-1.415, 0.000, 4.358]], "species": ["Na", "Na", "Ni", "Ni", "Ni", "H", "H", "H", "H", "H", "H", "H", "H"], "frac_coords": [[0.210, 0.210, 0.188], [0.790, 0.790, 0.812], [0.253, 0.747, 0.500], [0.500, 0.500, 0.000], [0.747, 0.253, 0.500], [0.100, 0.100, 0.528], [0.197, 0.654, 0.134], [0.346, 0.803, 0.866], [0.409, 0.409, 0.620], [0.591, 0.591, 0.380], [0.654, 0.197, 0.134], [0.803, 0.346, 0.866], [0.900, 0.900, 0.472]], "m_tot_mub_per_fu": 0.00, "energy_ev_per_atom": -3.738, "density_g_cm3": 3.4, "vol_a3_per_atom": 8.74, "dos_ef_per_ev_cell": 2.24}

***

(8)
{"formula": "Pu3TiPd12", "functional": "PBE-GGA", "state": "relaxed", "cell": [[4.095, 0.000, 0.000], [0.000, 4.095, 0.000], [0.000, 0.000, 16.411]], "species": ["Pu", "Pu", "Pu", "Ti", "Pd", "Pd", "Pd", "Pd", "Pd", "Pd", "Pd", "Pd", "Pd", "Pd", "Pd", "Pd"], "frac_coords": [[0.000, 0.000, 0.000], [0.000, 0.000, 0.257], [0.000, 0.000, 0.743], [0.000, 0.000, 0.500], [0.000, 0.500, 0.128], [0.000, 0.500, 0.388], [0.000, 0.500, 0.612], [0.000, 0.500, 0.872], [0.500, 0.000, 0.128], [0.500, 0.000, 0.388], [0.500, 0.000, 0.612], [0.500, 0.000, 0.872], [0.500, 0.500, 0.000], [0.500, 0.500, 0.258], [0.500, 0.500, 0.500], [0.500, 0.500, 0.742]], "m_tot_mub_per_fu": 4.82, "density_g_cm3": 12.4, "vol_a3_per_atom": 17.20, "dos_ef_per_ev_cell": 54.01, "e_form_ev_per_atom": -0.566}

***

(9)
{"formula": "Tb6CuTc2", "functional": "PBE-GGA", "state": "relaxed", "cell": [[-4.740, 4.813, 5.045], [4.740, -4.813, 5.045], [4.740, 4.813, -5.045]], "species": ["Tb", "Tb", "Tb", "Tb", "Tb", "Tb", "Tb", "Tb", "Tb", "Tb", "Tb", "Tb", "Cu", "Cu", "Tc", "Tc", "Tc", "Tc"], "frac_coords": [[0.025, 0.817, 0.208], [0.228, 0.528, 0.300], [0.228, 0.928, 0.700], [0.281, 0.314, 0.595], [0.281, 0.686, 0.967], [0.391, 0.183, 0.208], [0.609, 0.817, 0.792], [0.719, 0.314, 0.033], [0.719, 0.686, 0.405], [0.772, 0.072, 0.300], [0.772, 0.472, 0.700], [0.975, 0.183, 0.792], [0.000, 0.500, 0.500], [0.500, 0.000, 0.500], [0.000, 0.131, 0.131], [0.000, 0.869, 0.869], [0.382, 0.382, 0.000], [0.618, 0.618, 0.000]], "m_tot_mub_per_fu": 0.00, "density_g_cm3": 8.8, "vol_a3_per_atom": 25.58, "dos_ef_per_ev_cell": 17.62, "e_form_ev_per_atom": -0.051}

***

(10)
{"formula": "KMgAlGe2", "functional": "PBE-GGA", "state": "relaxed", "cell": [[-2.284, 2.284, 5.556], [2.284, -2.284, 5.556], [2.284, 2.284, -5.556]], "species": ["K", "Mg", "Al", "Ge", "Ge"], "frac_coords": [[0.000, 0.000, 0.000], [0.250, 0.750, 0.500], [0.750, 0.250, 0.500], [0.383, 0.383, 0.000], [0.617, 0.617, 0.000]], "m_tot_mub_per_fu": 0.00, "density_g_cm3": 3.4, "vol_a3_per_atom": 23.18, "dos_ef_per_ev_cell": 1.40, "e_form_ev_per_atom": -0.156}

***

(11)
{"formula": "NaBrNF2", "functional": "PBE-GGA", "state": "relaxed", "cell": [[4.158, 0.000, 0.000], [0.000, 4.158, 0.000], [0.000, 0.000, 5.061]], "species": ["Na", "Br", "N", "F", "F"], "frac_coords": [[0.000, 0.000, 0.000], [0.500, 0.500, 0.500], [0.000, 0.000, 0.500], [0.000, 0.500, 0.000], [0.500, 0.000, 0.000]], "m_tot_mub_per_fu": 3.22, "density_g_cm3": 2.9, "formation_energy_uncorrected_ev_per_atom": 0.2327, "de_polymorph_mev_per_atom": 478.5, "vol_a3_per_atom": 17.50, "dos_ef_per_ev_cell": 4.36}

***

(12)
{"formula": "AcY2Ho6Tm", "functional": "PBE-GGA", "state": "relaxed", "cell": [[4.649, -7.572, 0.000], [4.649, 7.572, 0.000], [-0.634, 0.000, 9.380]], "species": ["Ac", "Ac", "Y", "Y", "Y", "Y", "Ho", "Ho", "Ho", "Ho", "Ho", "Ho", "Ho", "Ho", "Ho", "Ho", "Ho", "Ho", "Tm", "Tm"], "frac_coords": [[0.035, 0.965, 0.750], [0.965, 0.035, 0.250], [0.206, 0.316, 0.552], [0.316, 0.206, 0.052], [0.684, 0.794, 0.948], [0.794, 0.684, 0.448], [0.008, 0.551, 0.681], [0.128, 0.756, 0.059], [0.244, 0.872, 0.441], [0.287, 0.517, 0.887], [0.449, 0.992, 0.819], [0.483, 0.713, 0.613], [0.517, 0.287, 0.387], [0.551, 0.008, 0.181], [0.713, 0.483, 0.113], [0.756, 0.128, 0.559], [0.872, 0.244, 0.941], [0.992, 0.449, 0.319], [0.413, 0.587, 0.250], [0.587, 0.413, 0.750]], "m_tot_mub_per_fu": 0.00, "density_g_cm3": 7.9, "vol_a3_per_atom": 33.02, "dos_ef_per_ev_cell": 30.48, "e_form_ev_per_atom": 0.135}